The following is a DFT calculation (PBE) of a relaxed Pm2Sm2Er3 crystal.

```
Pm2Sm2Er3
1.0
6.1499 0.0000 0.0000
0.0000 12.9463 0.0000
-2.4556 0.0000 5.8525
Pm Sm Er
4 4 6
Cartesian
-0.3739 2.2806 2.1882
-1.6017 4.1925 5.1145
5.2960 8.7538 0.7380
4.0682 10.6657 3.6643
0.9096 9.1989 3.7083
2.1374 10.2206 0.7820
1.5569 2.7257 5.0705
2.7847 3.7474 2.1442
-1.1378 0.6830 5.1942
0.0900 5.7902 2.2680
1.8472 0.0000 2.9263
3.0750 6.4732 0.0000
3.6043 7.1561 3.5845
4.8321 12.2633 0.6583
```

Uncorrected energy (eV for the cell shown): -62.7
ΔE_f (meV/atom): 181
Mass density (Mg/m³): 7.8
Symmetry: P2_1/c, No. 14